[1]
This record from the Alexandria database describes crystalline Ti3Zn2Ni2 at its relaxed geometry. The functional is PBE-GGA.

density of states at the Fermi level = 7.25 states/eV per cell
energy relative to the elements = -0.1893 eV per atom
crystal system = orthorhombic

POSCAR file:
```
Ti3Zn2Ni2
1.0
3.959 0.000 0.525
0.000 2.726 0.000
0.778 0.000 9.311
Ti Zn Ni
3 2 2
direct
0.859 0.000 0.281
0.000 0.000 0.000
0.141 0.000 0.719
0.712 0.500 0.575
0.288 0.500 0.425
0.572 0.500 0.856
0.428 0.500 0.144
```

=====

[2]
This record from the Alexandria database describes crystalline TiZn4Ni5 at its relaxed geometry. The functional is PBE-GGA.

density of states at the Fermi level = 7.32 states/eV per cell
energy relative to the elements = -0.2740 eV per atom
crystal system = tetragonal

POSCAR file:
```
TiZn4Ni5
1.0
2.764 0.000 0.000
0.000 2.764 0.000
0.000 0.000 16.207
Ti Zn Ni
1 4 5
direct
0.000 0.000 0.000
0.000 0.000 0.205
0.000 0.000 0.402
0.000 0.000 0.598
0.000 0.000 0.795
0.500 0.500 0.105
0.500 0.500 0.303
0.500 0.500 0.500
0.500 0.500 0.697
0.500 0.500 0.895
```

=====

[3]
This record from the Alexandria database describes crystalline Ti4Zn2Ni3 at its relaxed geometry. The functional is PBE-GGA.

density of states at the Fermi level = 8.98 states/eV per cell
energy relative to the elements = -0.2647 eV per atom
crystal system = monoclinic

POSCAR file:
```
Ti4Zn2Ni3
1.0
3.996 0.000 0.001
1.997 4.261 1.007
-0.001 1.484 7.731
Ti Zn Ni
4 2 3
direct
0.664 0.672 0.885
0.031 0.938 0.342
0.969 0.062 0.658
0.336 0.328 0.115
0.312 0.376 0.762
0.688 0.624 0.238
0.346 0.308 0.457
0.000 0.000 0.000
0.654 0.692 0.543
```

=====

[4]
This record from the Alexandria database describes crystalline TiZnNi at its relaxed geometry. The functional is PBE-GGA.

density of states at the Fermi level = 9.66 states/eV per cell
energy relative to the elements = -0.2704 eV per atom
crystal system = orthorhombic

POSCAR file:
```
TiZnNi
1.0
4.495 0.000 0.000
0.000 4.481 0.000
0.000 0.000 8.194
Ti Zn Ni
4 4 4
direct
0.750 0.500 0.236
0.250 0.500 0.764
0.750 0.000 0.736
0.250 0.000 0.264
0.750 0.500 0.569
0.750 0.000 0.069
0.250 0.500 0.431
0.250 0.000 0.931
0.750 0.000 0.408
0.250 0.500 0.092
0.750 0.500 0.908
0.250 0.000 0.592
```

=====

[5]
This record from the Alexandria database describes crystalline TiZnNi2 at its relaxed geometry. The functional is PBE-GGA.

density of states at the Fermi level = 3.91 states/eV per cell
energy relative to the elements = -0.1367 eV per atom
crystal system = trigonal

POSCAR file:
```
TiZnNi2
1.0
2.752 -0.001 0.000
1.375 2.383 0.000
1.376 0.794 8.033
Ti Zn Ni
1 1 2
direct
0.666 0.666 0.000
0.500 0.500 0.500
0.083 0.083 0.751
0.251 0.251 0.249
```

=====

[6]
This record from the Alexandria database describes crystalline TiZn4Ni15 at its relaxed geometry. The functional is PBE-GGA.

density of states at the Fermi level = 21.95 states/eV per cell
energy relative to the elements = -0.1848 eV per atom
crystal system = tetragonal

POSCAR file:
```
TiZn4Ni15
1.0
-3.318 0.442 1.295
0.234 -3.165 1.678
6.716 8.144 14.427
Ti Zn Ni
1 4 15
direct
0.000 0.000 0.000
0.000 0.000 0.201
0.000 0.000 0.400
0.000 0.000 0.600
0.000 0.000 0.799
0.500 0.500 0.000
0.500 0.500 0.200
0.500 0.500 0.400
0.500 0.500 0.600
0.500 0.500 0.800
0.500 0.000 0.101
0.500 0.000 0.300
0.500 0.000 0.500
0.500 0.000 0.700
0.500 0.000 0.899
0.000 0.500 0.101
0.000 0.500 0.300
0.000 0.500 0.500
0.000 0.500 0.700
0.000 0.500 0.899
```

=====

[7]
This record from the Alexandria database describes crystalline TiZnNi14 at its relaxed geometry. The functional is PBE-GGA.

density of states at the Fermi level = 24.68 states/eV per cell
energy relative to the elements = -0.1203 eV per atom
crystal system = tetragonal

POSCAR file:
```
TiZnNi14
1.0
5.030 -0.011 0.000
0.011 5.030 0.000
0.000 0.000 7.118
Ti Zn Ni
1 1 14
direct
0.875 0.875 0.500
0.375 0.375 0.500
0.875 0.875 0.000
0.375 0.375 0.000
0.875 0.375 0.500
0.875 0.375 0.000
0.375 0.875 0.500
0.375 0.875 0.000
0.625 0.125 0.244
0.625 0.125 0.756
0.125 0.625 0.244
0.125 0.625 0.756
0.625 0.625 0.244
0.625 0.625 0.756
0.125 0.125 0.244
0.125 0.125 0.756
```

=====

[8]
This record from the Alexandria database describes crystalline Ti4Zn5Ni2 at its relaxed geometry. The functional is PBE-GGA.

density of states at the Fermi level = 10.07 states/eV per cell
energy relative to the elements = -0.2283 eV per atom
crystal system = monoclinic

POSCAR file:
```
Ti4Zn5Ni2
1.0
-2.101 -1.198 -1.171
-1.564 -3.006 5.878
-5.012 7.135 1.694
Ti Zn Ni
4 5 2
direct
0.500 0.740 0.548
0.500 0.146 0.880
0.500 0.260 0.452
0.500 0.854 0.120
0.000 0.566 0.295
0.000 0.204 0.167
0.000 0.500 0.000
0.000 0.796 0.833
0.000 0.434 0.705
0.000 0.059 0.638
0.000 0.941 0.362
```

=====

no.,electronic total energy (eV/atom)
1,-5.59
2,-4.46
3,-5.98
4,-5.25
5,-5.32
6,-5.17
7,-5.75
8,-4.73